Computed, not measured: a relaxed Dy4Pd3 crystal at the PBE level of DFT.

Calculated values
Formation enthalpy at 0 K, eV per atom: -0.719
DOS(E_F), states/eV/atom: 0.706
E_tot, eV per atom: -5.57
Theoretical density, g/cm3: 9.5

a = 4.921 Å, b = 4.921 Å, c = 8.565 Å
α = 73.31°, β = 73.31°, γ = 60.00°
Atoms (fractional coordinates):
Dy  0.375  0.375  0.874
Pd  0.249  0.249  0.254
Dy  0.875  0.875  0.375
Dy  0.625  0.625  0.126
Pd  0.751  0.751  0.746
Dy  0.125  0.125  0.625
Pd  0.000  0.000  0.000